DFT (PBE) results for CaPr12In6 after structural relaxation.

Calculated values
space-group type = R-3, No. 148

Unit cell a=9.454 b=9.454 c=9.454 alpha=111.01 beta=111.01 gamma=111.01
Sites, in units of the cell vectors:
Ca  0.000  0.000  0.000
Pr  0.803  0.661  0.517
Pr  0.517  0.803  0.661
Pr  0.661  0.517  0.803
Pr  0.197  0.339  0.483
Pr  0.483  0.197  0.339
Pr  0.339  0.483  0.197
Pr  0.902  0.817  0.271
Pr  0.183  0.729  0.098
Pr  0.729  0.098  0.183
Pr  0.098  0.183  0.729
Pr  0.817  0.271  0.902
Pr  0.271  0.902  0.817
In  0.645  0.934  0.422
In  0.578  0.355  0.066
In  0.066  0.578  0.355
In  0.355  0.066  0.578
In  0.422  0.645  0.934
In  0.934  0.422  0.645

---

DFT (PBE) results for Ca2PrIn3 after structural relaxation.

Calculated values
space-group type = P4/mmm, No. 123

Unit cell a=3.855 b=3.855 c=11.702 alpha=90.00 beta=90.00 gamma=90.00
Sites, in units of the cell vectors:
Ca  0.500  0.500  0.838
Ca  0.500  0.500  0.162
Pr  0.500  0.500  0.500
In  0.000  0.000  0.000
In  0.000  0.000  0.672
In  0.000  0.000  0.328

---

no.,raw total energy (eV per atom),formation enthalpy at 0 K (eV per formula unit)
1,-4.19,-3.77
2,-3.31,-2.86